(1)
Material: ScMn2Cl
Method: DFT, PBE-GGA
State: relaxed

a b c (Å): 5.309 5.309 3.170
angles (deg): 90.00 90.00 121.80
Atoms (fractional coordinates):
Sc (0.000, 0.000, 0.000)
Mn (0.000, 0.500, 0.500)
Mn (0.500, 0.000, 0.500)
Cl (0.500, 0.500, 0.000)

Summary:
Excess energy over the best structure of this formula in the dataset = 460 meV/atom
Symmetry = No. 65
E_tot = -6.464 eV/atom



(2)
Material: ScMn2Cl
Method: DFT, PBE-GGA
State: relaxed

a b c (Å): 4.988 4.988 5.474
angles (deg): 116.64 116.64 36.06
Atoms (fractional coordinates):
Sc (0.000, 0.000, 0.000)
Mn (0.171, 0.171, 0.618)
Mn (0.404, 0.404, 0.495)
Cl (0.746, 0.746, 0.070)

Summary:
Excess energy over the best structure of this formula in the dataset = 334 meV/atom
Symmetry = No. 8
E_tot = -6.589 eV/atom



Question: Among the records above, which one has the highest E_tot?
Answer: number 1